1.
First-principles (PBE) data for a relaxed K2SrGeMo crystal, as listed in Alexandria.

a = 6.4395 Å, b = 6.4395 Å, c = 5.0332 Å
α = 90.00°, β = 90.00°, γ = 90.00°
Positions (direct):
K: 0.0000 0.5000 0.0000
K: 0.5000 0.0000 0.0000
Sr: 0.0000 0.0000 0.5000
Ge: 0.5000 0.5000 0.0000
Mo: 0.5000 0.5000 0.5000

Output
Distance to the lowest polymorph of the same formula = 0.0000 eV per atom
Calculated formation energy = 338 kJ/mol of formula units
Space-group type = P4/mmm, No. 123

2.
First-principles (PBE) data for a relaxed CdHg2Ru crystal, as listed in Alexandria.

a = 10.3726 Å, b = 10.3726 Å, c = 10.3726 Å
α = 156.99°, β = 156.99°, γ = 32.77°
Positions (direct):
Cd: 0.0000 0.0000 0.0000
Cd: 0.7500 0.2500 0.5000
Hg: 0.1394 0.6250 0.0144
Hg: 0.3750 0.3894 0.5144
Hg: 0.6106 0.1250 0.9856
Hg: 0.8750 0.8606 0.4856
Ru: 0.2500 0.7500 0.5000
Ru: 0.5000 0.5000 0.0000

Output
Calculated formation energy = 212 kJ/mol of formula units
Space-group type = I-42d, No. 122

3.
First-principles (PBE) data for a relaxed BiAsC crystal, as listed in Alexandria.

a = 5.2204 Å, b = 5.8230 Å, c = 7.1361 Å
α = 67.67°, β = 71.41°, γ = 73.27°
Positions (direct):
Bi: 0.0000 0.0000 0.0000
Bi: 0.4251 0.4908 0.0029
As: 0.0908 0.1592 0.2940
As: 0.6607 0.4973 0.3098
C: 0.2968 0.1987 0.7227
C: 0.4431 0.3065 0.5543

Output
Distance to the lowest polymorph of the same formula = 0.1208 eV per atom
Calculated formation energy = 182 kJ/mol of formula units
Space-group type = P1, No. 1

4.
First-principles (PBE) data for a relaxed PmTlHg4 crystal, as listed in Alexandria.

a = 4.4475 Å, b = 4.4623 Å, c = 9.2666 Å
α = 90.00°, β = 90.00°, γ = 90.00°
Positions (direct):
Pm: 0.0000 0.0000 0.0000
Tl: 0.5000 0.5000 0.5000
Hg: 0.0000 0.5000 0.2446
Hg: 0.0000 0.5000 0.7554
Hg: 0.5000 0.0000 0.2455
Hg: 0.5000 0.0000 0.7545

Output
Distance to the lowest polymorph of the same formula = 0.1588 eV per atom
Calculated formation energy = -48 kJ/mol of formula units
Space-group type = Pmmm, No. 47

5.
First-principles (PBE) data for a relaxed KHfTi2Cd crystal, as listed in Alexandria.

a = 5.2799 Å, b = 5.2799 Å, c = 5.4023 Å
α = 90.00°, β = 90.00°, γ = 90.00°
Positions (direct):
K: 0.0000 0.0000 0.0000
Hf: 0.5000 0.5000 0.0000
Ti: 0.0000 0.5000 0.5000
Ti: 0.5000 0.0000 0.5000
Cd: 0.5000 0.5000 0.5000

Output
Calculated formation energy = 650 kJ/mol of formula units
Space-group type = P4/mmm, No. 123

6.
First-principles (PBE) data for a relaxed YHo2Cd4 crystal, as listed in Alexandria.

a = 7.8347 Å, b = 7.8347 Å, c = 7.8347 Å
α = 140.30°, β = 140.30°, γ = 57.40°
Positions (direct):
Y: 0.0000 0.0000 0.0000
Ho: 0.2594 0.2594 0.0000
Ho: 0.7406 0.7406 0.0000
Cd: 0.1161 0.6161 0.5000
Cd: 0.3839 0.8839 0.5000
Cd: 0.6161 0.1161 0.5000
Cd: 0.8839 0.3839 0.5000

Output
Calculated formation energy = -107 kJ/mol of formula units
Space-group type = I4/mmm, No. 139

7.
First-principles (PBE) data for a relaxed Al2InAu8 crystal, as listed in Alexandria.

a = 7.9783 Å, b = 7.9783 Å, c = 6.7046 Å
α = 107.02°, β = 107.02°, γ = 29.22°
Positions (direct):
Al: 0.2100 0.2100 0.1658
Al: 0.7900 0.7900 0.8342
In: 0.5000 0.5000 0.5000
Au: 0.0436 0.0436 0.2326
Au: 0.1679 0.1679 0.7530
Au: 0.3218 0.3218 0.5635
Au: 0.4019 0.4019 0.0355
Au: 0.5981 0.5981 0.9645
Au: 0.6782 0.6782 0.4365
Au: 0.8321 0.8321 0.2470
Au: 0.9564 0.9564 0.7674

Output
Calculated formation energy = -224 kJ/mol of formula units
Space-group type = C2/m, No. 12

8.
First-principles (PBE) data for a relaxed SeI2NF crystal, as listed in Alexandria.

a = 6.5905 Å, b = 6.5905 Å, c = 3.2610 Å
α = 90.00°, β = 90.00°, γ = 90.00°
Positions (direct):
Se: 0.0000 0.0000 0.0000
I: 0.0000 0.5000 0.5000
I: 0.5000 0.0000 0.5000
N: 0.5000 0.5000 0.0000
F: 0.5000 0.5000 0.5000

Output
Distance to the lowest polymorph of the same formula = 0.4597 eV per atom
Formation energy without anion corrections = 1.2180 eV per atom
Space-group type = P4/mmm, No. 123

9.
First-principles (PBE) data for a relaxed Sm2SCl4 crystal, as listed in Alexandria.

a = 8.3519 Å, b = 8.3519 Å, c = 7.0406 Å
α = 97.41°, β = 97.41°, γ = 45.72°
Positions (direct):
Sm: 0.1002 0.6855 0.9226
Sm: 0.3145 0.8998 0.5774
Sm: 0.6855 0.1002 0.4226
Sm: 0.8998 0.3145 0.0774
S: 0.0624 0.9376 0.2500
S: 0.9376 0.0624 0.7500
Cl: 0.1404 0.2985 0.8213
Cl: 0.2985 0.1404 0.3213
Cl: 0.3088 0.5146 0.5760
Cl: 0.4854 0.6912 0.9240
Cl: 0.5146 0.3088 0.0760
Cl: 0.6912 0.4854 0.4240
Cl: 0.7015 0.8596 0.6787
Cl: 0.8596 0.7015 0.1787

Output
Formation energy without anion corrections = -2.2196 eV per atom
Space-group type = C2/c, No. 15

10.
First-principles (PBE) data for a relaxed P2HS2 crystal, as listed in Alexandria.

a = 4.5918 Å, b = 4.5918 Å, c = 4.6116 Å
α = 90.00°, β = 90.00°, γ = 90.00°
Positions (direct):
P: 0.0000 0.5000 0.0000
P: 0.5000 0.0000 0.0000
H: 0.0000 0.0000 0.5000
S: 0.5000 0.5000 0.0000
S: 0.5000 0.5000 0.5000

Output
Distance to the lowest polymorph of the same formula = 0.5494 eV per atom
Space-group type = P4/mmm, No. 123

11.
First-principles (PBE) data for a relaxed GaHCl4 crystal, as listed in Alexandria.

a = 9.1842 Å, b = 9.1842 Å, c = 6.1599 Å
α = 91.86°, β = 91.86°, γ = 143.20°
Positions (direct):
Ga: 0.0520 0.9480 0.7500
Ga: 0.9480 0.0520 0.2500
H: 0.3576 0.6424 0.2500
H: 0.6424 0.3576 0.7500
Cl: 0.0991 0.3993 0.1292
Cl: 0.1788 0.2741 0.5914
Cl: 0.2741 0.1788 0.0914
Cl: 0.3993 0.0991 0.6292
Cl: 0.6007 0.9009 0.3708
Cl: 0.7259 0.8212 0.9086
Cl: 0.8212 0.7259 0.4086
Cl: 0.9009 0.6007 0.8708

Output
E_tot = -3.123 eV per atom
Space-group type = C2/c, No. 15

12.
First-principles (PBE) data for a relaxed Rb3TcO3 crystal, as listed in Alexandria.

a = 7.5436 Å, b = 5.9166 Å, c = 7.8643 Å
α = 90.00°, β = 99.79°, γ = 90.00°
Positions (direct):
Rb: 0.1021 0.2500 0.2962
Rb: 0.3278 0.7500 0.0733
Rb: 0.3578 0.7500 0.5715
Rb: 0.6422 0.2500 0.4285
Rb: 0.6722 0.2500 0.9267
Rb: 0.8979 0.7500 0.7038
Tc: 0.1948 0.2500 0.7818
Tc: 0.8052 0.7500 0.2182
O: 0.0512 0.7500 0.2967
O: 0.2926 0.2500 0.0134
O: 0.3549 0.2500 0.6254
O: 0.6451 0.7500 0.3746
O: 0.7074 0.7500 0.9866
O: 0.9488 0.2500 0.7033

Output
Formation energy without anion corrections = -1.3158 eV per atom
Space-group type = P2_1/m, No. 11

13.
First-principles (PBE) data for a relaxed Tb6PrNd3 crystal, as listed in Alexandria.

a = 6.9737 Å, b = 6.9737 Å, c = 6.9737 Å
α = 91.48°, β = 91.48°, γ = 91.48°
Positions (direct):
Tb: 0.0000 0.3263 0.6737
Tb: 0.1743 0.8257 0.5000
Tb: 0.3263 0.6737 0.0000
Tb: 0.5000 0.1743 0.8257
Tb: 0.6737 0.0000 0.3263
Tb: 0.8257 0.5000 0.1743
Pr: 0.0000 0.0000 0.0000
Nd: 0.2510 0.2510 0.2510
Nd: 0.5000 0.5000 0.5000
Nd: 0.7490 0.7490 0.7490

Output
Distance to the lowest polymorph of the same formula = 0.1324 eV per atom
Calculated formation energy = 269 kJ/mol of formula units
Space-group type = R32, No. 155

14.
First-principles (PBE) data for a relaxed GaAuIO2 crystal, as listed in Alexandria.

a = 3.8490 Å, b = 3.8490 Å, c = 6.9108 Å
α = 90.00°, β = 90.00°, γ = 90.00°
Positions (direct):
Ga: 0.0000 0.0000 0.0000
Au: 0.5000 0.5000 0.5000
I: 0.0000 0.0000 0.5000
O: 0.0000 0.5000 0.0000
O: 0.5000 0.0000 0.0000

Output
Distance to the lowest polymorph of the same formula = 0.0000 eV per atom
Formation energy without anion corrections = -0.3011 eV per atom
Space-group type = P4/mmm, No. 123

15.
First-principles (PBE) data for a relaxed Na2LiRh3F12 crystal, as listed in Alexandria.

a = 7.4147 Å, b = 7.4147 Å, c = 7.4147 Å
α = 59.03°, β = 59.03°, γ = 59.03°
Positions (direct):
Na: 0.1913 0.1913 0.1913
Na: 0.8087 0.8087 0.8087
Li: 0.5000 0.5000 0.5000
Rh: 0.0000 0.5000 0.5000
Rh: 0.5000 0.0000 0.5000
Rh: 0.5000 0.5000 0.0000
F: 0.1543 0.5853 0.5853
F: 0.1709 0.1709 0.5773
F: 0.1709 0.5773 0.1709
F: 0.4147 0.4147 0.8457
F: 0.4147 0.8457 0.4147
F: 0.4227 0.8291 0.8291
F: 0.5773 0.1709 0.1709
F: 0.5853 0.1543 0.5853
F: 0.5853 0.5853 0.1543
F: 0.8291 0.4227 0.8291
F: 0.8291 0.8291 0.4227
F: 0.8457 0.4147 0.4147

Output
Formation energy without anion corrections = -1.9192 eV per atom
Space-group type = R-3m, No. 166

16.
First-principles (PBE) data for a relaxed HoCoSn crystal, as listed in Alexandria.

a = 7.2325 Å, b = 4.5743 Å, c = 7.2895 Å
α = 90.00°, β = 90.00°, γ = 90.00°
Positions (direct):
Ho: 0.0231 0.2500 0.2000
Ho: 0.4769 0.7500 0.7000
Ho: 0.5231 0.2500 0.3000
Ho: 0.9769 0.7500 0.8000
Co: 0.1572 0.7500 0.4416
Co: 0.3428 0.2500 0.9416
Co: 0.6572 0.7500 0.0584
Co: 0.8428 0.2500 0.5584
Sn: 0.2021 0.2500 0.6086
Sn: 0.2979 0.7500 0.1086
Sn: 0.7021 0.2500 0.8914
Sn: 0.7979 0.7500 0.3914

Output
Calculated formation energy = -143 kJ/mol of formula units
Space-group type = Pnma, No. 62

17.
First-principles (PBE) data for a relaxed AcPrNd2S4 crystal, as listed in Alexandria.

a = 7.1811 Å, b = 4.1090 Å, c = 7.1990 Å
α = 90.00°, β = 109.17°, γ = 90.00°
Positions (direct):
Ac: 0.0000 0.0000 0.0000
Pr: 0.5000 0.5000 0.0000
Nd: 0.0000 0.5000 0.5000
Nd: 0.5000 0.0000 0.5000
S: 0.2524 0.0000 0.7429
S: 0.2589 0.5000 0.2613
S: 0.7411 0.5000 0.7387
S: 0.7476 0.0000 0.2571

Output
Formation energy without anion corrections = -2.0101 eV per atom
Space-group type = P2/m, No. 10

18.
First-principles (PBE) data for a relaxed PmTmLuPa crystal, as listed in Alexandria.

a = 5.5468 Å, b = 5.5468 Å, c = 5.5468 Å
α = 60.00°, β = 60.00°, γ = 60.00°
Positions (direct):
Pm: 0.0000 0.0000 0.0000
Tm: 0.5000 0.5000 0.5000
Lu: 0.7500 0.7500 0.7500
Pa: 0.2500 0.2500 0.2500

Output
Calculated formation energy = 142 kJ/mol of formula units
Space-group type = F-43m, No. 216

19.
First-principles (PBE) data for a relaxed PmPrInPb crystal, as listed in Alexandria.

a = 5.5387 Å, b = 5.5387 Å, c = 5.5387 Å
α = 60.00°, β = 60.00°, γ = 60.00°
Positions (direct):
Pm: 0.0000 0.0000 0.0000
Pr: 0.5000 0.5000 0.5000
In: 0.7500 0.7500 0.7500
Pb: 0.2500 0.2500 0.2500

Output
Distance to the lowest polymorph of the same formula = 0.0653 eV per atom
Calculated formation energy = -179 kJ/mol of formula units
Space-group type = F-43m, No. 216

20.
First-principles (PBE) data for a relaxed LaAs3Pd crystal, as listed in Alexandria.

a = 4.9233 Å, b = 4.9233 Å, c = 4.9233 Å
α = 90.00°, β = 90.00°, γ = 90.00°
Positions (direct):
La: 0.0000 0.0000 0.0000
As: 0.0000 0.5000 0.5000
As: 0.5000 0.0000 0.5000
As: 0.5000 0.5000 0.0000
Pd: 0.5000 0.5000 0.5000

Output
Distance to the lowest polymorph of the same formula = 0.0000 eV per atom
Calculated formation energy = -163 kJ/mol of formula units
Space-group type = Pm-3m, No. 221